{
  "formula": "NaBeAu3",
  "functional": "GGA-PBE",
  "state": "optimized geometry",
  "lattice_angstrom": [[4.557, 0.000, 0.000], [0.000, 4.557, 0.000], [0.000, 0.000, 4.557]],
  "species": ["Na", "Be", "Au", "Au", "Au"],
  "frac_coords": [[0.500, 0.500, 0.500], [0.000, 0.000, 0.000], [0.500, 0.000, 0.000], [0.000, 0.500, 0.000], [0.000, 0.000, 0.500]],
  "dos_ef_per_ev_cell": 1.32,
  "relative_energy_mev_per_atom": 98,
  "sg": "Pm-3m, No. 221",
  "ef_kcal_per_mol_atoms": -3.2,
  "total_energy_ev_per_atom": -3.11
}